Entry 1:
## Y3Ho4TmSe8 (GGA-PBE)

Data for a relaxed structure of Y3Ho4TmSe8.

The structure in POSCAR format:
```
Y3Ho4TmSe8
1.0
4.0636 2.3461 6.6350
-4.0636 2.3461 6.6350
0.0000 -4.6922 6.6350
Y Ho Tm Se
3 4 1 8
Direct
0.0000 0.5000 0.5000
0.5000 0.0000 0.5000
0.5000 0.5000 0.0000
0.0000 0.0000 0.5000
0.0000 0.5000 0.0000
0.5000 0.0000 0.0000
0.5000 0.5000 0.5000
0.0000 0.0000 0.0000
0.2464 0.7515 0.7515
0.2485 0.2485 0.7536
0.2485 0.7536 0.2485
0.2490 0.2490 0.2490
0.7510 0.7510 0.7510
0.7515 0.2464 0.7515
0.7515 0.7515 0.2464
0.7536 0.2485 0.2485
```

Calculated values
E in eV per cell: -97.65
Volume in A^3/atom: 23.720
M_tot in μB per formula unit: 0.0
Space group: No. 166
E_form (uncorrected) in kJ/mol of formula units: -2663

---

Entry 2:
## YHo2TmSe4 (GGA-PBE)

Data for a relaxed structure of YHo2TmSe4.

The structure in POSCAR format:
```
YHo2TmSe4
1.0
7.0259 0.0000 0.0000
0.0000 4.0045 0.0000
-2.2864 0.0000 6.6937
Y Ho Tm Se
1 2 1 4
Direct
0.0000 0.0000 0.0000
0.5000 0.0000 0.5000
0.5000 0.5000 0.0000
0.0000 0.5000 0.5000
0.2483 0.0000 0.7463
0.2507 0.5000 0.2534
0.7493 0.5000 0.7466
0.7517 0.0000 0.2537
```

Calculated values
E in eV per cell: -47.74
Volume in A^3/atom: 23.541
M_tot in μB per formula unit: 0.0
Space group: No. 10
E_form (uncorrected) in kJ/mol of formula units: -1323

---

Entry 3:
## Y2HoTmSe6 (GGA-PBE)

Data for a relaxed structure of Y2HoTmSe6.

The structure in POSCAR format:
```
Y2HoTmSe6
1.0
3.5862 2.0705 6.4640
-3.5862 2.0705 6.4640
0.0000 -4.1410 6.4640
Y Ho Tm Se
2 1 1 6
Direct
0.0000 0.0000 0.0000
0.4994 0.4994 0.4994
0.1954 0.1954 0.1954
0.6946 0.6946 0.6946
0.0914 0.4086 0.7954
0.2965 0.9052 0.5946
0.4086 0.7954 0.0914
0.5946 0.2965 0.9052
0.7954 0.0914 0.4086
0.9052 0.5946 0.2965
```

Calculated values
E in eV per cell: -61.43
Volume in A^3/atom: 28.799
M_tot in μB per formula unit: 0.0
Space group: No. 146
E_form (uncorrected) in kJ/mol of formula units: -1789

---

Entry 4:
## Y3Ho3TmSe8 (GGA-PBE)

Data for a relaxed structure of Y3Ho3TmSe8.

The structure in POSCAR format:
```
Y3Ho3TmSe8
1.0
4.0524 2.3397 6.6273
-4.0524 2.3397 6.6273
0.0000 -4.6793 6.6273
Y Ho Tm Se
3 3 1 8
Direct
0.0000 0.5000 0.5000
0.5000 0.0000 0.5000
0.5000 0.5000 0.0000
0.0000 0.0000 0.5000
0.0000 0.5000 0.0000
0.5000 0.0000 0.0000
0.5000 0.5000 0.5000
0.2468 0.7511 0.7511
0.2491 0.2491 0.2491
0.2489 0.2489 0.7532
0.2489 0.7532 0.2489
0.7511 0.2468 0.7511
0.7511 0.7511 0.2468
0.7509 0.7509 0.7509
0.7532 0.2489 0.2489
```

Calculated values
E in eV per cell: -92.85
Volume in A^3/atom: 25.135
M_tot in μB per formula unit: 0.0
Space group: No. 166
E_form (uncorrected) in kJ/mol of formula units: -2642

---

Entry 5:
## YHo2Tm3Se6 (GGA-PBE)

Data for a relaxed structure of YHo2Tm3Se6.

The structure in POSCAR format:
```
YHo2Tm3Se6
1.0
8.8154 -2.0141 0.0000
8.8154 2.0141 0.0000
-1.9441 0.0000 7.8807
Y Ho Tm Se
1 2 3 6
Direct
0.0000 0.0000 0.0000
0.3338 0.3338 0.6672
0.6662 0.6662 0.3328
0.0000 0.0000 0.5000
0.3341 0.3341 0.1666
0.6659 0.6659 0.8334
0.1660 0.1660 0.5857
0.1686 0.1686 0.0817
0.4993 0.4993 0.2544
0.5007 0.5007 0.7456
0.8314 0.8314 0.9183
0.8340 0.8340 0.4143
```

Calculated values
E in eV per cell: -70.31
Volume in A^3/atom: 23.321
M_tot in μB per formula unit: 0.0
Space group: No. 12
E_form (uncorrected) in kJ/mol of formula units: -1965

---

Entry 6:
## YHo3Tm2Se6 (GGA-PBE)

Data for a relaxed structure of YHo3Tm2Se6.

The structure in POSCAR format:
```
YHo3Tm2Se6
1.0
3.4859 -6.0814 0.0000
3.4859 6.0814 0.0000
-2.3379 0.0000 6.6291
Y Ho Tm Se
1 3 2 6
Direct
0.0000 0.0000 0.0000
0.1628 0.8372 0.5000
0.5000 0.5000 0.5000
0.8372 0.1628 0.5000
0.3341 0.6659 0.0000
0.6659 0.3341 0.0000
0.0828 0.4214 0.2493
0.2558 0.2558 0.7534
0.4214 0.0828 0.2493
0.5786 0.9172 0.7507
0.7442 0.7442 0.2466
0.9172 0.5786 0.7507
```

Calculated values
E in eV per cell: -70.56
Volume in A^3/atom: 23.422
M_tot in μB per formula unit: 0.0
Space group: No. 12
E_form (uncorrected) in kJ/mol of formula units: -1979

---

Entry 7:
## Y2HoTmSe5 (GGA-PBE)

Data for a relaxed structure of Y2HoTmSe5.

The structure in POSCAR format:
```
Y2HoTmSe5
1.0
5.0952 0.0000 0.0000
0.0000 5.0952 0.0000
0.0000 0.0000 10.6491
Y Ho Tm Se
2 1 1 5
Direct
0.0000 0.0000 0.1637
0.0000 0.0000 0.8363
0.5000 0.5000 0.5000
0.5000 0.5000 0.0000
0.0000 0.0000 0.5000
0.0000 0.5000 0.0000
0.5000 0.0000 0.0000
0.5000 0.5000 0.2532
0.5000 0.5000 0.7468
```

Calculated values
E in eV per cell: -49.80
Volume in A^3/atom: 30.718
M_tot in μB per formula unit: 0.0
Space group: No. 123
E_form (uncorrected) in kJ/mol of formula units: -1003

---

Entry 8:
## Y2Ho3TmSe6 (GGA-PBE)

Data for a relaxed structure of Y2Ho3TmSe6.

The structure in POSCAR format:
```
Y2Ho3TmSe6
1.0
8.8405 -2.0238 0.0000
8.8405 2.0238 0.0000
-1.8890 0.0000 7.9291
Y Ho Tm Se
2 3 1 6
Direct
0.1679 0.1679 0.3351
0.8321 0.8321 0.6649
0.1687 0.1687 0.8330
0.5000 0.5000 0.5000
0.8313 0.8313 0.1670
0.5000 0.5000 0.0000
0.0011 0.0011 0.7534
0.3346 0.3346 0.4152
0.3353 0.3353 0.9199
0.6647 0.6647 0.0801
0.6654 0.6654 0.5848
0.9989 0.9989 0.2466
```

Calculated values
E in eV per cell: -72.74
Volume in A^3/atom: 23.644
M_tot in μB per formula unit: 0.0
Space group: No. 12
E_form (uncorrected) in kJ/mol of formula units: -1997

---

Entry 9:
## Y2HoTmSe4 (GGA-PBE)

Data for a relaxed structure of Y2HoTmSe4.

The structure in POSCAR format:
```
Y2HoTmSe4
1.0
7.0507 0.0000 0.0000
0.0000 4.0114 0.0000
-2.2867 0.0000 6.6995
Y Ho Tm Se
2 1 1 4
Direct
0.0000 0.0000 0.0000
0.5000 0.5000 0.0000
0.0000 0.5000 0.5000
0.5000 0.0000 0.5000
0.2504 0.0000 0.7455
0.2538 0.5000 0.2558
0.7462 0.5000 0.7442
0.7496 0.0000 0.2545
```

Calculated values
E in eV per cell: -49.72
Volume in A^3/atom: 23.685
M_tot in μB per formula unit: 0.0
Space group: No. 10
E_form (uncorrected) in kJ/mol of formula units: -1332

---

Entry 10:
## Y3HoTm3Se8 (GGA-PBE)

Data for a relaxed structure of Y3HoTm3Se8.

The structure in POSCAR format:
```
Y3HoTm3Se8
1.0
4.0350 2.3296 6.6043
-4.0350 2.3296 6.6043
0.0000 -4.6592 6.6043
Y Ho Tm Se
3 1 3 8
Direct
0.0000 0.5000 0.5000
0.5000 0.0000 0.5000
0.5000 0.5000 0.0000
0.5000 0.5000 0.5000
0.0000 0.0000 0.5000
0.0000 0.5000 0.0000
0.5000 0.0000 0.0000
0.2417 0.7538 0.7538
0.2462 0.2462 0.7583
0.2462 0.7583 0.2462
0.2480 0.2480 0.2480
0.7520 0.7520 0.7520
0.7538 0.2417 0.7538
0.7538 0.7538 0.2417
0.7583 0.2462 0.2462
```

Calculated values
E in eV per cell: -92.43
Volume in A^3/atom: 24.833
M_tot in μB per formula unit: 0.0
Space group: No. 166
E_form (uncorrected) in kJ/mol of formula units: -2622

---

Entry 11:
## HoTm2ZrSe4 (GGA-PBE)

Data for a relaxed structure of HoTm2ZrSe4.

The structure in POSCAR format:
```
HoTm2ZrSe4
1.0
6.9000 0.0000 0.0000
0.0000 3.9992 0.0000
-2.3325 0.0000 6.5259
Ho Tm Zr Se
1 2 1 4
Direct
0.0000 0.0000 0.0000
0.0000 0.5000 0.5000
0.5000 0.0000 0.5000
0.5000 0.5000 0.0000
0.2534 0.0000 0.7509
0.2537 0.5000 0.2513
0.7463 0.5000 0.7487
0.7466 0.0000 0.2491
```

Calculated values
E in eV per cell: -48.10
Volume in A^3/atom: 22.510
M_tot in μB per formula unit: 0.0
Space group: No. 10
E_form (uncorrected) in kJ/mol of formula units: -1167

---

Entry 12:
## Ho3U2Se8 (GGA-PBE)

Data for a relaxed structure of Ho3U2Se8.

The structure in POSCAR format:
```
Ho3U2Se8
1.0
7.3214 -4.0667 0.0000
7.3214 4.0667 0.0000
-2.2686 0.0000 6.5321
Ho U Se
3 2 8
Direct
0.0000 0.0000 0.0000
0.2600 0.7400 0.5000
0.7400 0.2600 0.5000
0.2579 0.2579 0.8313
0.7421 0.7421 0.1687
0.1126 0.6397 0.0861
0.1171 0.1171 0.4206
0.3603 0.8874 0.9139
0.3882 0.3882 0.6078
0.6118 0.6118 0.3922
0.6397 0.1126 0.0861
0.8829 0.8829 0.5794
0.8874 0.3603 0.9139
```

Calculated values
E in eV per cell: -83.40
Volume in A^3/atom: 29.921
M_tot in μB per formula unit: 5.0
Space group: No. 12
E_form (uncorrected) in kJ/mol of formula units: -1854